[1]
A plane-wave DFT calculation with GGA-PBE was carried out for Sm4Al2O after structural relaxation.

* SG: I4/mmm (139)
* final energy: -5.43 eV per atom
* calculated density: 6.2 Mg/m³
* ΔE_f (raw): -0.96 eV/atom
* DOS(E_F): 0.561 states/eV per atom

Structure (CIF):
```
data_Sm4Al2O
_cell_length_a 8.774
_cell_length_b 8.774
_cell_length_c 8.774
_cell_angle_alpha 148.79
_cell_angle_beta 148.79
_cell_angle_gamma 44.72
_symmetry_space_group_name_H-M 'P 1'
_symmetry_Int_Tables_number 1
loop_
_symmetry_equiv_pos_as_xyz
'x,y,z'
loop_
_atom_site_label
_atom_site_type_symbol
_atom_site_fract_x
_atom_site_fract_y
_atom_site_fract_z
_atom_site_occupancy
Sm1 Sm 0.000 0.500 0.500 1
Sm2 Sm 0.173 0.173 0.000 1
Sm3 Sm 0.500 0.000 0.500 1
Sm4 Sm 0.827 0.827 0.000 1
Al1 Al 0.365 0.365 0.000 1
Al2 Al 0.635 0.635 0.000 1
O1 O 0.000 0.000 0.000 1
```


[2]
A plane-wave DFT calculation with GGA-PBE was carried out for Sm3AlO6 after structural relaxation.

* SG: Cmc2_1 (36)
* final energy: -8.12 eV per atom
* calculated density: 6.7 Mg/m³
* ΔE_f (raw): -3.36 eV/atom
* DOS(E_F): 0.000 states/eV per atom

Structure (CIF):
```
data_Sm3AlO6
_cell_length_a 7.303
_cell_length_b 7.303
_cell_length_c 5.511
_cell_angle_alpha 90.00
_cell_angle_beta 90.00
_cell_angle_gamma 102.77
_symmetry_space_group_name_H-M 'P 1'
_symmetry_Int_Tables_number 1
loop_
_symmetry_equiv_pos_as_xyz
'x,y,z'
loop_
_atom_site_label
_atom_site_type_symbol
_atom_site_fract_x
_atom_site_fract_y
_atom_site_fract_z
_atom_site_occupancy
Sm1 Sm 0.104 0.896 0.500 1
Sm2 Sm 0.201 0.414 0.456 1
Sm3 Sm 0.414 0.201 0.956 1
Sm4 Sm 0.586 0.799 0.456 1
Sm5 Sm 0.799 0.586 0.956 1
Sm6 Sm 0.896 0.104 0.000 1
Al1 Al 0.307 0.693 0.919 1
Al2 Al 0.693 0.307 0.419 1
O1 O 0.089 0.609 0.761 1
O2 O 0.146 0.173 0.726 1
O3 O 0.173 0.146 0.226 1
O4 O 0.286 0.714 0.241 1
O5 O 0.391 0.911 0.761 1
O6 O 0.453 0.547 0.800 1
O7 O 0.547 0.453 0.300 1
O8 O 0.609 0.089 0.261 1
O9 O 0.714 0.286 0.741 1
O10 O 0.827 0.854 0.726 1
O11 O 0.854 0.827 0.226 1
O12 O 0.911 0.391 0.261 1
```


Number 1 is which compound? Sm4Al2O